No. 1
A PBEsol-optimized structure of BeCo2Re, computed with meta-GGA SCAN.

Summary:
- Total DFT energy (no corrections): -27.0502 eV/atom
- DOS at the Fermi energy: 2.50 states/eV/f.u.
- Space group: I-42d (122)
- Formation enthalpy at 0 K: 0.4647 eV per atom

```
data_BeCo2Re
_symmetry_space_group_name_H-M 'P 1'
_symmetry_Int_Tables_number 1
_cell_length_a 3.342
_cell_length_b 3.342
_cell_length_c 8.403
_cell_angle_alpha 101.47
_cell_angle_beta 101.47
_cell_angle_gamma 90.00
loop_
_symmetry_equiv_pos_as_xyz
'x,y,z'
loop_
_atom_site_label
_atom_site_type_symbol
_atom_site_fract_x
_atom_site_fract_y
_atom_site_fract_z
Co1 Co 0.845 0.375 0.250
Co2 Co 0.405 0.875 0.250
Co3 Co 0.625 0.595 0.750
Co4 Co 0.125 0.155 0.750
Re1 Re 0.250 0.750 0.500
Re2 Re 0.000 0.000 0.000
Be1 Be 0.500 0.500 0.000
Be2 Be 0.750 0.250 0.500
```


No. 2
A PBEsol-optimized structure of BeCo2Rh, computed with meta-GGA SCAN.

Summary:
- Total DFT energy (no corrections): -18.3076 eV/atom
- DOS at the Fermi energy: 2.20 states/eV/f.u.
- Space group: Imm2 (44)
- Formation enthalpy at 0 K: -0.1242 eV per atom

```
data_BeCo2Rh
_symmetry_space_group_name_H-M 'P 1'
_symmetry_Int_Tables_number 1
_cell_length_a 2.713
_cell_length_b 4.028
_cell_length_c 4.559
_cell_angle_alpha 116.21
_cell_angle_beta 107.31
_cell_angle_gamma 90.00
loop_
_symmetry_equiv_pos_as_xyz
'x,y,z'
loop_
_atom_site_label
_atom_site_type_symbol
_atom_site_fract_x
_atom_site_fract_y
_atom_site_fract_z
Co1 Co 0.980 0.980 0.961
Co2 Co 0.743 0.243 0.486
Rh1 Rh 0.520 0.520 0.039
Be1 Be 0.257 0.757 0.514
```


No. 3
A PBEsol-optimized structure of BeCoRh2, computed with meta-GGA SCAN.

Summary:
- Total DFT energy (no corrections): -22.6584 eV/atom
- DOS at the Fermi energy: 2.56 states/eV/f.u.
- Space group: P4/mmm (123)
- Formation enthalpy at 0 K: -0.3581 eV per atom

```
data_BeCoRh2
_symmetry_space_group_name_H-M 'P 1'
_symmetry_Int_Tables_number 1
_cell_length_a 2.735
_cell_length_b 2.735
_cell_length_c 6.049
_cell_angle_alpha 90.00
_cell_angle_beta 90.00
_cell_angle_gamma 90.00
loop_
_symmetry_equiv_pos_as_xyz
'x,y,z'
loop_
_atom_site_label
_atom_site_type_symbol
_atom_site_fract_x
_atom_site_fract_y
_atom_site_fract_z
Rh1 Rh 0.000 0.000 0.227
Rh2 Rh 0.000 0.000 0.773
Be1 Be 0.500 0.500 0.000
Co1 Co 0.500 0.500 0.500
```


No. 4
A PBEsol-optimized structure of Be2CoRh, computed with meta-GGA SCAN.

Summary:
- Total DFT energy (no corrections): -15.4480 eV/atom
- DOS at the Fermi energy: 2.93 states/eV/f.u.
- Space group: P4/mmm (123)
- Formation enthalpy at 0 K: -0.5022 eV per atom

```
data_Be2CoRh
_symmetry_space_group_name_H-M 'P 1'
_symmetry_Int_Tables_number 1
_cell_length_a 2.703
_cell_length_b 3.752
_cell_length_c 3.752
_cell_angle_alpha 90.00
_cell_angle_beta 90.00
_cell_angle_gamma 90.00
loop_
_symmetry_equiv_pos_as_xyz
'x,y,z'
loop_
_atom_site_label
_atom_site_type_symbol
_atom_site_fract_x
_atom_site_fract_y
_atom_site_fract_z
Rh1 Rh 0.500 0.000 0.000
Be1 Be 0.000 0.500 0.000
Be2 Be 0.000 0.000 0.500
Co1 Co 0.500 0.500 0.500
```


No. 5
A PBEsol-optimized structure of BeCo2Rh, computed with meta-GGA SCAN.

Summary:
- Total DFT energy (no corrections): -18.1520 eV/atom
- DOS at the Fermi energy: 3.18 states/eV/f.u.
- Space group: I-4m2 (119)
- Formation enthalpy at 0 K: 0.0314 eV per atom

```
data_BeCo2Rh
_symmetry_space_group_name_H-M 'P 1'
_symmetry_Int_Tables_number 1
_cell_length_a 3.504
_cell_length_b 3.504
_cell_length_c 4.191
_cell_angle_alpha 114.71
_cell_angle_beta 114.71
_cell_angle_gamma 90.00
loop_
_symmetry_equiv_pos_as_xyz
'x,y,z'
loop_
_atom_site_label
_atom_site_type_symbol
_atom_site_fract_x
_atom_site_fract_y
_atom_site_fract_z
Co1 Co 0.750 0.250 0.500
Co2 Co 0.000 0.000 0.000
Be1 Be 0.250 0.750 0.500
Rh1 Rh 0.500 0.500 0.000
```


No. 6
A PBEsol-optimized structure of BeCo2Rh, computed with meta-GGA SCAN.

Summary:
- Total DFT energy (no corrections): -18.2656 eV/atom
- DOS at the Fermi energy: 3.46 states/eV/f.u.
- Space group: I4/mmm (139)
- Formation enthalpy at 0 K: -0.0822 eV per atom

```
data_BeCo2Rh
_symmetry_space_group_name_H-M 'P 1'
_symmetry_Int_Tables_number 1
_cell_length_a 3.376
_cell_length_b 3.376
_cell_length_c 4.346
_cell_angle_alpha 112.85
_cell_angle_beta 112.85
_cell_angle_gamma 90.00
loop_
_symmetry_equiv_pos_as_xyz
'x,y,z'
loop_
_atom_site_label
_atom_site_type_symbol
_atom_site_fract_x
_atom_site_fract_y
_atom_site_fract_z
Co1 Co 0.750 0.250 0.500
Co2 Co 0.250 0.750 0.500
Rh1 Rh 0.500 0.500 0.000
Be1 Be 0.000 0.000 0.000
```